DFT (GGA-PBE) results for a relaxed structure of CaTbPr5.

Energy relative to the elements = 2.04 eV/f.u.
Fermi-level density of states = 9.330 states/eV/cell
Raw total energy = -28.5 eV/f.u.

Unit cell a=5.522 b=5.522 c=8.807 alpha=90.00 beta=90.00 gamma=90.00
Space group P4/mmm (No. 123)
Unique sites:
1 Ca 0.000 0.000 0.000
2 Tb 0.000 0.000 0.500
3 Pr 0.000 0.500 0.285
4 Pr 0.500 0.500 0.000

***

DFT (GGA-PBE) results for a relaxed structure of CaTb7Pr12.

Energy relative to the elements = 12.33 eV/f.u.
Fermi-level density of states = 51.405 states/eV/cell
Raw total energy = -79.4 eV/f.u.

Unit cell a=11.742 b=11.742 c=11.742 alpha=90.00 beta=90.00 gamma=90.00
Space group Im-3 (No. 204)
Unique sites:
1 Ca 0.000 0.000 0.000
2 Tb 0.000 0.000 0.500
3 Tb 0.250 0.250 0.250
4 Pr 0.000 0.258 0.256

***

DFT (GGA-PBE) results for a relaxed structure of CaTb3Pr2Te6.

Fermi-level density of states = 11.906 states/eV/cell
Raw total energy = -61.3 eV/f.u.
Uncorrected formation energy = -1412.6 meV per atom

Unit cell a=19.440 b=4.424 c=8.938 alpha=90.00 beta=103.62 gamma=90.00
Space group C2/m (No. 12)
Unique sites:
1 Ca 0.000 0.000 0.000
2 Tb 0.000 0.000 0.500
3 Tb 0.170 0.500 0.829
4 Pr 0.173 0.500 0.344
5 Te 0.002 0.500 0.749
6 Te 0.161 0.000 0.590
7 Te 0.166 0.000 0.074

***

DFT (GGA-PBE) results for a relaxed structure of CaTbPr2Te4.

Fermi-level density of states = 3.885 states/eV/cell
Raw total energy = -40.4 eV/f.u.
Uncorrected formation energy = -1449.3 meV per atom

Unit cell a=7.722 b=4.432 c=7.852 alpha=90.00 beta=108.79 gamma=90.00
Space group P2/m (No. 10)
Unique sites:
1 Ca 0.000 0.000 0.000
2 Tb 0.500 0.500 0.000
3 Pr 0.000 0.500 0.500
4 Pr 0.500 0.000 0.500
5 Te 0.248 0.500 0.239
6 Te 0.255 0.000 0.762

***

DFT (GGA-PBE) results for a relaxed structure of CaTbPr2Te5.

Fermi-level density of states = 3.596 states/eV/cell
Raw total energy = -40.4 eV/f.u.
Uncorrected formation energy = -943.2 meV per atom

Unit cell a=5.563 b=5.563 c=11.541 alpha=90.00 beta=90.00 gamma=90.00
Space group P4/mmm (No. 123)
Unique sites:
1 Ca 0.000 0.000 0.000
2 Tb 0.000 0.000 0.500
3 Pr 0.500 0.500 0.313
4 Te 0.000 0.000 0.247
5 Te 0.000 0.500 0.500
6 Te 0.500 0.500 0.000

***

DFT (GGA-PBE) results for a relaxed structure of Ca2TbPr3Te6.

Fermi-level density of states = 12.006 states/eV/cell
Raw total energy = -59.5 eV/f.u.
Uncorrected formation energy = -1473.6 meV per atom

Unit cell a=7.701 b=13.351 c=7.913 alpha=90.00 beta=108.99 gamma=90.00
Space group C2/m (No. 12)
Unique sites:
1 Ca 0.000 0.166 0.000
2 Tb 0.000 0.500 0.000
3 Pr 0.000 0.000 0.500
4 Pr 0.000 0.328 0.500
5 Te 0.244 0.335 0.237
6 Te 0.249 0.500 0.756

***

DFT (GGA-PBE) results for a relaxed structure of Ca2TbPrTl4.

Energy relative to the elements = -3.08 eV/f.u.
Fermi-level density of states = 23.200 states/eV/cell
Raw total energy = -26.0 eV/f.u.

Unit cell a=5.4846 b=5.4846 c=26.9294 alpha=90.00 beta=90.00 gamma=120.00
Space group R-3m (No. 166, hexagonal axes)
Unique sites:
1 Ca 0.0000 0.0000 0.2494
2 Tb 0.0000 0.0000 0.5000
3 Pr 0.0000 0.0000 0.0000
4 Tl 0.0000 0.0000 0.1264
5 Tl 0.0000 0.0000 0.3770

***

DFT (GGA-PBE) results for a relaxed structure of CaTbPrTl.

Energy relative to the elements = -0.36 eV/f.u.
Fermi-level density of states = 12.676 states/eV/cell
Raw total energy = -14.1 eV/f.u.

Unit cell a=7.925 b=7.925 c=7.925 alpha=90.00 beta=90.00 gamma=90.00
Space group F-43m (No. 216)
Unique sites:
1 Ca 0.000 0.000 0.000
2 Tb 0.250 0.250 0.250
3 Pr 0.250 0.250 0.750
4 Tl 0.000 0.000 0.500

***

DFT (GGA-PBE) results for a relaxed structure of CaTb2PrTl4.

Energy relative to the elements = -3.00 eV/f.u.
Fermi-level density of states = 16.140 states/eV/cell
Raw total energy = -28.5 eV/f.u.

Unit cell a=5.4419 b=5.4419 c=26.9287 alpha=90.00 beta=90.00 gamma=120.00
Space group R-3m (No. 166, hexagonal axes)
Unique sites:
1 Ca 0.0000 0.0000 0.0000
2 Tb 0.0000 0.0000 0.2527
3 Pr 0.0000 0.0000 0.5000
4 Tl 0.0000 0.0000 0.1246
5 Tl 0.0000 0.0000 0.3746

***

DFT (GGA-PBE) results for a relaxed structure of CaTbPrTm.

Energy relative to the elements = 0.51 eV/f.u.
Fermi-level density of states = 25.934 states/eV/cell
Raw total energy = -15.4 eV/f.u.

Unit cell a=8.188 b=8.188 c=8.188 alpha=90.00 beta=90.00 gamma=90.00
Space group F-43m (No. 216)
Unique sites:
1 Ca 0.000 0.000 0.000
2 Tb 0.250 0.250 0.250
3 Pr 0.250 0.250 0.750
4 Tm 0.000 0.000 0.500

***

DFT (GGA-PBE) results for a relaxed structure of CaTbPr2Y4.

Energy relative to the elements = 3.30 eV/f.u.
Fermi-level density of states = 70.069 states/eV/cell
Raw total energy = -38.7 eV/f.u.

Unit cell a=13.910 b=13.486 c=6.903 alpha=90.00 beta=119.72 gamma=90.00
Space group C2/c (No. 15)
Unique sites:
1 Ca 0.000 0.000 0.000
2 Tb 0.250 0.250 0.000
3 Pr 0.000 0.500 0.000
4 Pr 0.250 0.250 0.500
5 Y 0.000 0.250 0.501
6 Y 0.238 0.498 0.986

***

DFT (GGA-PBE) results for a relaxed structure of CaTb2Pr6Y3.

Energy relative to the elements = 0.30 eV/f.u.
Fermi-level density of states = 26.597 states/eV/cell
Raw total energy = -59.0 eV/f.u.

Unit cell a=6.366 b=11.022 c=12.010 alpha=90.00 beta=100.11 gamma=90.00
Space group C2/m (No. 12)
Unique sites:
1 Ca 0.000 0.000 0.000
2 Tb 0.000 0.333 0.000
3 Pr 0.245 0.330 0.748
4 Pr 0.245 0.500 0.253
5 Y 0.000 0.167 0.500
6 Y 0.000 0.500 0.500